Computed, not measured: an optimized crystal structure of Mn3VCl2O6 at the PBE with a Hubbard U level of DFT.

Results
- Mass density: 3884 kg/m3
- Crystal system: monoclinic
- Total magnetization: 12.00 μB per cell
- SG: No. 12
- DOS(E_F): 5.8 states/eV/f.u.
- Energy: -6.594 eV per atom

The structure in extended XYZ format:
```
12
Lattice="-2.699 4.439 -1.789 -5.282 -2.779 1.073 2.076 4.087 3.669" Properties=species:S:1:pos:R:3 pbc="T T T"
O 0.089 4.477 2.840
O -2.745 2.985 3.416
O -4.789 3.241 1.956
Mn -2.953 2.873 1.476
V -1.350 2.220 -0.895
O -5.995 1.270 0.113
Cl -3.325 0.457 1.954
O -1.116 2.506 0.996
Cl -2.581 5.290 0.999
Mn -2.641 -1.390 0.536
O -3.160 2.761 -0.463
Mn -0.312 4.263 0.940
```